Here is crystalline SrCd2Ga at its relaxed geometry from the Alexandria database. Energies are from PBE.

Results
ρ, g/cm³: 5.96
Size of the total moment, μB per formula unit: 0.00
Crystal system: tetragonal
VASP energy, eV/atom: -1.80

Lattice parameters (Å, degrees): 3.8081 3.8081 7.3455 90.00 90.00 90.00
Space group P4/mmm (No. 123)
One atom of each set of equivalent atoms:
Sr1 0.0000 0.0000 0.0000 x1
Cd1 0.5000 0.5000 0.2907 x2
Ga1 0.0000 0.0000 0.5000 x1